The following is a PBE calculation of crystalline Rb3Np2CrS6 at its relaxed geometry, from Alexandria.

Unit cell a=6.9186 b=6.9186 c=7.9812 alpha=98.31 beta=98.31 gamma=119.99
Last column: nearest neighbours and their distance in Å.
Positions (direct):
Rb: 0.1665 0.8335 0.5000  6 S 3.30-3.39
Rb: 0.8335 0.1665 0.5000  6 S 3.30-3.39
Rb: 0.5000 0.5000 0.5000  6 S 3.30-3.39
Np: 0.3333 0.6667 0.0000  6 S 2.74
Np: 0.6667 0.3333 0.0000  6 S 2.74
Cr: 0.0000 0.0000 0.0000  6 S 2.64
S: 0.9382 0.6168 0.8145  1 Cr 2.64, 2 Np 2.74
S: 0.7403 0.7403 0.1858  1 Cr 2.64, 2 Np 2.74
S: 0.0618 0.3832 0.1855  1 Cr 2.64, 2 Np 2.74
S: 0.6168 0.9382 0.8145  1 Cr 2.64, 2 Np 2.74
S: 0.2597 0.2597 0.8142  1 Cr 2.64, 2 Np 2.74
S: 0.3832 0.0618 0.1855  1 Cr 2.64, 2 Np 2.74

Properties
SG = C2/m, No. 12
Uncorrected formation energy = -1.1810 eV/atom

---

The following is a PBE calculation of crystalline Rb3NpCr2Se6 at its relaxed geometry, from Alexandria.

Unit cell a=6.9272 b=6.9272 c=8.2675 alpha=98.07 beta=98.07 gamma=119.95
Last column: nearest neighbours and their distance in Å.
Positions (direct):
Rb: 0.1619 0.8381 0.5000  6 Se 3.35-3.49
Rb: 0.8381 0.1619 0.5000  6 Se 3.35-3.49
Rb: 0.5000 0.5000 0.5000  6 Se 3.33-3.48
Np: 0.0000 0.0000 0.0000  6 Se 2.86
Cr: 0.3331 0.6669 0.0000  6 Se 2.65-2.66
Cr: 0.6669 0.3331 0.0000  6 Se 2.65-2.66
Se: 0.9393 0.5826 0.8182  2 Cr 2.66, 1 Np 2.86
Se: 0.7035 0.7035 0.1801  2 Cr 2.65, 1 Np 2.86
Se: 0.0607 0.4174 0.1818  2 Cr 2.66, 1 Np 2.86
Se: 0.5826 0.9393 0.8182  2 Cr 2.66, 1 Np 2.86
Se: 0.2965 0.2965 0.8199  2 Cr 2.65, 1 Np 2.86
Se: 0.4174 0.0607 0.1818  2 Cr 2.66, 1 Np 2.86

Properties
SG = C2/m, No. 12
Uncorrected formation energy = -0.9211 eV/atom

---

The following is a PBE calculation of crystalline Rb3Np3CrSe8 at its relaxed geometry, from Alexandria.

Unit cell a=8.2701 b=8.2694 c=9.4528 alpha=115.94 beta=90.00 gamma=120.00
Last column: nearest neighbours and their distance in Å.
Positions (direct):
Rb: 0.0000 0.0000 0.0000  6 Se 3.43-3.49
Rb: 0.0000 0.5000 0.0000  6 Se 3.43-3.48
Rb: 0.5000 0.5000 0.0000  6 Se 3.43-3.48
Np: 0.5000 0.0000 0.5000  6 Se 2.87-2.88
Np: 0.5000 0.5000 0.5000  6 Se 2.87-2.88
Np: 0.0000 0.5000 0.5000  6 Se 2.87-2.88
Cr: 0.0000 0.0000 0.5000  6 Se 2.69
Se: 0.2676 0.5353 0.3023  3 Np 2.88
Se: 0.7323 0.4647 0.6977  3 Np 2.88
Se: 0.7827 0.5653 0.3182  1 Cr 2.69, 2 Np 2.87
Se: 0.2173 0.4347 0.6818  1 Cr 2.69, 2 Np 2.87
Se: 0.7822 0.0354 0.3185  1 Cr 2.69, 2 Np 2.87
Se: 0.2178 0.9646 0.6815  1 Cr 2.69, 2 Np 2.87
Se: 0.2532 0.0354 0.3185  1 Cr 2.69, 2 Np 2.87
Se: 0.7468 0.9646 0.6815  1 Cr 2.69, 2 Np 2.87

Properties
SG = R-3m, No. 166
Uncorrected formation energy = -1.1183 eV/atom

---

The following is a PBE calculation of crystalline Rb2Np2CrTe6 at its relaxed geometry, from Alexandria.

Unit cell a=7.4873 b=7.4873 c=9.1438 alpha=98.42 beta=98.42 gamma=119.46
Last column: nearest neighbours and their distance in Å.
Positions (direct):
Rb: 0.8273 0.1727 0.0000  6 Te 3.67-3.74
Rb: 0.1727 0.8273 0.0000  6 Te 3.67-3.74
Np: 0.3321 0.6679 0.5000  6 Te 3.08
Np: 0.6679 0.3321 0.5000  6 Te 3.08
Cr: 0.0000 0.0000 0.5000  6 Te 2.85
Te: 0.7572 0.7572 0.6875  1 Cr 2.85, 2 Np 3.08
Te: 0.0707 0.3781 0.6905  1 Cr 2.85, 2 Np 3.08
Te: 0.2428 0.2428 0.3125  1 Cr 2.85, 2 Np 3.08
Te: 0.3781 0.0707 0.6905  1 Cr 2.85, 2 Np 3.08
Te: 0.9293 0.6219 0.3095  1 Cr 2.85, 2 Np 3.08
Te: 0.6219 0.9293 0.3095  1 Cr 2.85, 2 Np 3.08

Properties
SG = C2/m, No. 12
Uncorrected formation energy = -0.6825 eV/atom

---

The following is a PBE calculation of crystalline NpCrRe2 at its relaxed geometry, from Alexandria.

Unit cell a=2.9486 b=2.9486 c=7.2100 alpha=90.00 beta=90.00 gamma=90.00
Last column: nearest neighbours and their distance in Å.
Positions (direct):
Np: 0.5000 0.5000 0.5000  4 Np 2.95, 8 Re 2.96
Re: 0.0000 0.0000 0.7923  4 Cr 2.57
Re: 0.0000 0.0000 0.2077  4 Cr 2.57
Cr: 0.5000 0.5000 0.0000  8 Re 2.57

Properties
Formation energy from the elements = 0.9 eV per formula unit
SG = P4/mmm, No. 123

---

The following is a PBE calculation of crystalline NpCr2Re at its relaxed geometry, from Alexandria.

Unit cell a=2.9120 b=2.9120 c=7.1197 alpha=90.00 beta=90.00 gamma=90.00
Last column: nearest neighbours and their distance in Å.
Positions (direct):
Np: 0.5000 0.5000 0.5000  8 Cr 2.90, 4 Np 2.91
Re: 0.5000 0.5000 0.0000  8 Cr 2.56
Cr: 0.0000 0.0000 0.7869  4 Re 2.56
Cr: 0.0000 0.0000 0.2131  4 Re 2.56

Properties
Formation energy from the elements = 0.9 eV per formula unit
SG = P4/mmm, No. 123

---

The following is a PBE calculation of crystalline Np2CrRh9 at its relaxed geometry, from Alexandria.

Unit cell a=3.9503 b=3.9503 c=11.8812 alpha=90.00 beta=90.00 gamma=90.00
Last column: nearest neighbours and their distance in Å.
Positions (direct):
Np: 0.0000 0.0000 0.3281  12 Rh 2.79-2.86
Np: 0.0000 0.0000 0.6719  12 Rh 2.79-2.86
Cr: 0.0000 0.0000 0.0000  12 Rh 2.69-2.79
Rh: 0.5000 0.5000 0.0000  8 Rh 2.69, 4 Cr 2.79
Rh: 0.5000 0.5000 0.3268  4 Np 2.79, 8 Rh 2.85
Rh: 0.5000 0.5000 0.6732  4 Np 2.79, 8 Rh 2.85
Rh: 0.5000 0.0000 0.1543  8 Rh 2.69-2.85, 2 Cr 2.69, 2 Np 2.86
Rh: 0.5000 0.0000 0.5000  8 Rh 2.79-2.85, 4 Np 2.84
Rh: 0.5000 0.0000 0.8457  8 Rh 2.69-2.85, 2 Cr 2.69, 2 Np 2.86
Rh: 0.0000 0.5000 0.1543  2 Cr 2.69, 8 Rh 2.69-2.85, 2 Np 2.86
Rh: 0.0000 0.5000 0.5000  8 Rh 2.79-2.85, 4 Np 2.84
Rh: 0.0000 0.5000 0.8457  2 Cr 2.69, 8 Rh 2.69-2.85, 2 Np 2.86

Properties
Formation energy from the elements = -3.4 eV per formula unit
SG = P4/mmm, No. 123

---

The following is a PBE calculation of crystalline NpCrRh6 at its relaxed geometry, from Alexandria.

Unit cell a=3.9130 b=3.9130 c=7.8592 alpha=90.00 beta=90.00 gamma=90.00
Last column: nearest neighbours and their distance in Å.
Positions (direct):
Np: 0.0000 0.0000 0.0000  12 Rh 2.77-2.85
Cr: 0.0000 0.0000 0.5000  12 Rh 2.69-2.77
Rh: 0.5000 0.5000 0.0000  4 Np 2.77, 8 Rh 2.85
Rh: 0.5000 0.5000 0.5000  8 Rh 2.69, 4 Cr 2.77
Rh: 0.5000 0.0000 0.2645  2 Cr 2.69, 8 Rh 2.69-2.85, 2 Np 2.85
Rh: 0.5000 0.0000 0.7355  2 Cr 2.69, 8 Rh 2.69-2.85, 2 Np 2.85
Rh: 0.0000 0.5000 0.2645  2 Cr 2.69, 8 Rh 2.69-2.85, 2 Np 2.85
Rh: 0.0000 0.5000 0.7355  2 Cr 2.69, 8 Rh 2.69-2.85, 2 Np 2.85

Properties
Formation energy from the elements = -1.7 eV per formula unit
SG = P4/mmm, No. 123

---

The following is a PBE calculation of crystalline NpCrRu2 at its relaxed geometry, from Alexandria.

Unit cell a=2.9279 b=2.9279 c=7.2693 alpha=90.00 beta=90.00 gamma=90.00
Last column: nearest neighbours and their distance in Å.
Positions (direct):
Np: 0.5000 0.5000 0.5000  4 Np 2.93, 8 Ru 2.98
Ru: 0.0000 0.0000 0.7957  4 Cr 2.55
Ru: 0.0000 0.0000 0.2043  4 Cr 2.55
Cr: 0.5000 0.5000 0.0000  8 Ru 2.55

Properties
Formation energy from the elements = 0.4 eV per formula unit
SG = P4/mmm, No. 123

---

The following is a PBE calculation of crystalline NpCrRu2 at its relaxed geometry, from Alexandria.

Unit cell a=3.6865 b=4.1352 c=4.1352 alpha=90.00 beta=90.00 gamma=90.00
Last column: nearest neighbours and their distance in Å.
Positions (direct):
Np: 0.5000 0.5000 0.5000  8 Ru 2.77, 4 Cr 2.92
Ru: 0.0000 0.0000 0.5000  4 Cr 2.77, 4 Np 2.77, 4 Ru 2.92
Ru: 0.0000 0.5000 0.0000  4 Np 2.77, 4 Cr 2.77, 4 Ru 2.92
Cr: 0.5000 0.0000 0.0000  8 Ru 2.77, 4 Np 2.92

Properties
Formation energy from the elements = 0.3 eV per formula unit
SG = P4/mmm, No. 123

---

The following is a PBE calculation of crystalline NpCrTcRu at its relaxed geometry, from Alexandria.

Unit cell a=4.5237 b=4.5237 c=4.5237 alpha=60.00 beta=60.00 gamma=60.00
Last column: nearest neighbours and their distance in Å.
Positions (direct):
Np: 0.5000 0.5000 0.5000  4 Tc 2.77, 4 Ru 2.77
Ru: 0.7500 0.7500 0.7500  4 Np 2.77, 4 Cr 2.77
Tc: 0.2500 0.2500 0.2500  4 Cr 2.77, 4 Np 2.77
Cr: 0.0000 0.0000 0.0000  4 Ru 2.77, 4 Tc 2.77

Properties
Formation energy from the elements = 0.8 eV per formula unit
SG = F-43m, No. 216

---

The following is a PBE calculation of crystalline NpUCrRu at its relaxed geometry, from Alexandria.

Unit cell a=4.5306 b=4.5306 c=4.5306 alpha=60.00 beta=60.00 gamma=60.00
Last column: nearest neighbours and their distance in Å.
Positions (direct):
Np: 0.0000 0.0000 0.0000  4 U 2.77, 4 Cr 2.77
Ru: 0.5000 0.5000 0.5000  4 Cr 2.77, 4 U 2.77
U: 0.2500 0.2500 0.2500  4 Ru 2.77, 4 Np 2.77
Cr: 0.7500 0.7500 0.7500  4 Np 2.77, 4 Ru 2.77

Properties
Formation energy from the elements = 0.2 eV per formula unit
SG = F-43m, No. 216

---

The following is a PBE calculation of crystalline NpVCrRu at its relaxed geometry, from Alexandria.

Unit cell a=4.4381 b=4.4381 c=4.4381 alpha=60.00 beta=60.00 gamma=60.00
Last column: nearest neighbours and their distance in Å.
Positions (direct):
Np: 0.5000 0.5000 0.5000  4 Cr 2.72, 4 Ru 2.72
Ru: 0.7500 0.7500 0.7500  4 Np 2.72, 4 V 2.72
V: 0.0000 0.0000 0.0000  4 Cr 2.72, 4 Ru 2.72
Cr: 0.2500 0.2500 0.2500  4 Np 2.72, 4 V 2.72

Properties
Formation energy from the elements = 0.7 eV per formula unit
SG = F-43m, No. 216

---

The following is a PBE calculation of crystalline NpZnCrRu at its relaxed geometry, from Alexandria.

Unit cell a=4.4961 b=4.4961 c=4.4961 alpha=60.00 beta=60.00 gamma=60.00
Last column: nearest neighbours and their distance in Å.
Positions (direct):
Np: 0.5000 0.5000 0.5000  4 Ru 2.75, 4 Cr 2.75
Ru: 0.2500 0.2500 0.2500  4 Np 2.75, 4 Zn 2.75
Zn: 0.0000 0.0000 0.0000  4 Cr 2.75, 4 Ru 2.75
Cr: 0.7500 0.7500 0.7500  4 Zn 2.75, 4 Np 2.75

Properties
Formation energy from the elements = 0.7 eV per formula unit
SG = F-43m, No. 216

---

The following is a PBE calculation of crystalline NpCrS2 at its relaxed geometry, from Alexandria.

Unit cell a=3.6297 b=3.6297 c=6.6621 alpha=74.19 beta=74.19 gamma=60.00
Last column: nearest neighbours and their distance in Å.
Positions (direct):
Np: 0.4972 0.4972 0.5084  6 S 2.75-2.80
Cr: 0.6713 0.6713 0.9862  6 S 2.43-2.55
S: 0.0699 0.0699 0.7903  3 Cr 2.43
S: 0.2617 0.2617 0.2150  3 Cr 2.55, 3 Np 2.80

Properties
SG = R3m, No. 160
Uncorrected formation energy = -0.8060 eV/atom

---

The following is a PBE calculation of crystalline Np2CrS6 at its relaxed geometry, from Alexandria.

Unit cell a=5.9389 b=6.9798 c=8.5073 alpha=90.00 beta=89.39 gamma=90.00
Last column: nearest neighbours and their distance in Å.
Positions (direct):
Np: 0.0527 0.6209 0.7468  8 S 2.64-2.93
Np: 0.4473 0.1209 0.7532  8 S 2.64-2.93
Np: 0.5527 0.8791 0.2468  8 S 2.64-2.93
Np: 0.9473 0.3791 0.2532  8 S 2.64-2.93
Cr: 0.5000 0.5000 0.0000  6 S 2.34-2.37
Cr: 0.0000 0.0000 0.5000  6 S 2.34-2.37
S: 0.1368 0.0364 0.2424  1 Cr 2.34
S: 0.1490 0.3067 0.5591  1 Cr 2.37
S: 0.1645 0.3306 0.9445  1 Cr 2.37
S: 0.3355 0.8306 0.5555  1 Cr 2.37
S: 0.3510 0.8067 0.9409  1 Cr 2.37
S: 0.3632 0.5364 0.2576  1 Cr 2.34
S: 0.8632 0.9636 0.7576  1 Cr 2.34
S: 0.8510 0.6933 0.4409  1 Cr 2.37
S: 0.8355 0.6694 0.0555  1 Cr 2.37
S: 0.6645 0.1694 0.4445  1 Cr 2.37
S: 0.6490 0.1933 0.0591  1 Cr 2.37
S: 0.6368 0.4636 0.7424  1 Cr 2.34

Properties
SG = P2_1/c, No. 14
Uncorrected formation energy = -1.0500 eV/atom

---

The following is a PBE calculation of crystalline Np6Cr3S14 at its relaxed geometry, from Alexandria.

Unit cell a=5.7160 b=9.7088 c=9.7088 alpha=120.00 beta=90.00 gamma=90.00
Last column: nearest neighbours and their distance in Å.
Positions (direct):
Np: 0.2512 0.8077 0.1023  7 S 2.75-2.87
Np: 0.2512 0.8977 0.7054  7 S 2.75-2.87
Np: 0.2512 0.2946 0.1923  7 S 2.75-2.87
Np: 0.7427 0.5218 0.5583  7 S 2.73-3.03
Np: 0.7427 0.4417 0.9634  7 S 2.73-3.03
Np: 0.7427 0.0366 0.4782  7 S 2.73-3.03
Cr: 0.8446 0.0000 0.0000  4 S 2.23-2.25
Cr: 0.3370 0.3333 0.6667  4 S 2.22-2.26
Cr: 0.4824 0.6667 0.3333  6 S 2.44-2.45
S: 0.9838 0.0919 0.2481  1 Cr 2.25
S: 0.9838 0.7519 0.8438  1 Cr 2.25
S: 0.9838 0.1562 0.9081  1 Cr 2.25
S: 0.4837 0.2379 0.4198  1 Cr 2.26
S: 0.4837 0.5802 0.8181  1 Cr 2.26
S: 0.4837 0.1819 0.7621  1 Cr 2.26
S: 0.4544 0.0000 0.0000  1 Cr 2.23
S: 0.9481 0.3333 0.6667  1 Cr 2.22
S: 0.7152 0.7637 0.1873  1 Cr 2.45
S: 0.7152 0.8127 0.5764  1 Cr 2.45
S: 0.7152 0.4236 0.2363  1 Cr 2.45
S: 0.2489 0.5753 0.4829  1 Cr 2.44
S: 0.2489 0.5171 0.0923  1 Cr 2.44
S: 0.2489 0.9077 0.4247  1 Cr 2.44

Properties
SG = P3, No. 143
Uncorrected formation energy = -1.1503 eV/atom

---

The following is a PBE calculation of crystalline Np6CrS12 at its relaxed geometry, from Alexandria.

Unit cell a=7.6959 b=7.6959 c=7.6959 alpha=99.81 beta=99.81 gamma=99.81
Last column: nearest neighbours and their distance in Å.
Positions (direct):
Np: 0.1327 0.2962 0.6230  7 S 2.67-2.87
Np: 0.7038 0.3770 0.8673  7 S 2.67-2.87
Np: 0.3770 0.8673 0.7038  7 S 2.67-2.87
Np: 0.8673 0.7038 0.3770  7 S 2.67-2.87
Np: 0.2962 0.6230 0.1327  7 S 2.67-2.87
Np: 0.6230 0.1327 0.2962  7 S 2.67-2.87
Cr: 0.0000 0.0000 0.0000  6 S 2.42
S: 0.4315 0.1762 0.5786  4 Np 2.67-2.83
S: 0.1762 0.5786 0.4315  4 Np 2.67-2.83
S: 0.5786 0.4315 0.1762  4 Np 2.67-2.83
S: 0.5685 0.8238 0.4214  4 Np 2.67-2.83
S: 0.8238 0.4214 0.5685  4 Np 2.67-2.83
S: 0.4214 0.5685 0.8238  4 Np 2.67-2.83
S: 0.0388 0.9400 0.6911  1 Cr 2.42
S: 0.3089 0.9612 0.0600  1 Cr 2.42
S: 0.0600 0.3089 0.9612  1 Cr 2.42
S: 0.9612 0.0600 0.3089  1 Cr 2.42
S: 0.6911 0.0388 0.9400  1 Cr 2.42
S: 0.9400 0.6911 0.0388  1 Cr 2.42

Properties
SG = R-3, No. 148
Uncorrected formation energy = -1.2720 eV/atom

---

The following is a PBE calculation of crystalline Np3CrS6 at its relaxed geometry, from Alexandria.

Unit cell a=7.6446 b=7.6446 c=7.6446 alpha=98.81 beta=98.81 gamma=98.81
Last column: nearest neighbours and their distance in Å.
Positions (direct):
Np: 0.3800 0.8856 0.7052  7 S 2.69-2.98
Np: 0.8856 0.7052 0.3800  7 S 2.69-2.98
Np: 0.2948 0.6200 0.1144  7 S 2.69-2.98
Np: 0.7052 0.3800 0.8856  7 S 2.69-2.98
Np: 0.1144 0.2948 0.6200  7 S 2.69-2.98
Np: 0.6200 0.1144 0.2948  7 S 2.69-2.98
Cr: 0.0000 0.0000 0.0000  6 S 2.41
Cr: 0.5000 0.5000 0.5000  6 S 2.43
S: 0.3101 0.9637 0.0599  1 Cr 2.41
S: 0.0363 0.9401 0.6899  1 Cr 2.41
S: 0.5716 0.8020 0.4351  1 Cr 2.43, 1 Np 2.69
S: 0.9401 0.6899 0.0363  1 Cr 2.41
S: 0.4351 0.5716 0.8020  1 Cr 2.43, 1 Np 2.69
S: 0.1980 0.5649 0.4284  1 Cr 2.43, 1 Np 2.69
S: 0.8020 0.4351 0.5716  1 Cr 2.43, 1 Np 2.69
S: 0.5649 0.4284 0.1980  1 Cr 2.43, 1 Np 2.69
S: 0.0599 0.3101 0.9637  1 Cr 2.41
S: 0.4284 0.1980 0.5649  1 Cr 2.43, 1 Np 2.69
S: 0.9637 0.0599 0.3101  1 Cr 2.41
S: 0.6899 0.0363 0.9401  1 Cr 2.41

Properties
SG = R-3, No. 148
Uncorrected formation energy = -1.2031 eV/atom

---

The following is a PBE calculation of crystalline Np2CrS6 at its relaxed geometry, from Alexandria.

Unit cell a=5.0361 b=6.8929 c=7.8354 alpha=66.07 beta=71.25 gamma=68.57
Last column: nearest neighbours and their distance in Å.
Positions (direct):
Np: 0.1814 0.7532 0.8840  6 S 2.49-2.66
Np: 0.8186 0.2468 0.1160  6 S 2.49-2.66
Cr: 0.0000 0.5000 0.5000  2 S 2.36
S: 0.6934 0.6789 0.9343  3 Np 2.57-2.66
S: 0.3066 0.3211 0.0657  3 Np 2.57-2.66
S: 0.9842 0.8106 0.2211  1 Cr 2.36
S: 0.3688 0.6928 0.5696  1 Np 2.49
S: 0.0158 0.1894 0.7789  1 Cr 2.36
S: 0.6312 0.3072 0.4304  1 Np 2.49

Properties
SG = C2/m, No. 12
Uncorrected formation energy = -0.7246 eV/atom

---

Calculated uncorrected energy (eV/atom), listed in the same order as above: -6.45 -5.59 -6.40 -5.80 -11.65 -10.92 -8.75 -8.55 -10.17 -10.22 -10.35 -10.72 -10.06 -8.10 -8.51 -7.75 -8.29 -8.47 -8.52 -7.42
Calculated Fermi-level density of states (states/eV/f.u.), listed in the same order as above: 19.60 7.88 29.92 14.00 4.42 6.18 24.51 15.09 6.10 8.19 7.44 6.82 4.71 4.71 7.16 14.16 39.69 54.49 28.52 17.58